[1]
Zr2OsPt after structural relaxation. Source: Alexandria via LeMat-Bulk, functional GGA-PBE.

Output
**Magnetization**: 0.00 μB per atom
**Energy relative to the elements**: -0.68 eV/atom
**Space group**: Pm (6)
**Crystal system**: monoclinic

Unit cell a=3.323 b=4.450 c=5.365 alpha=90.00 beta=107.80 gamma=90.00
Fractional positions:
Zr 0.000 0.000 0.000
Zr 0.286 0.500 0.578
Os 0.551 0.500 0.101
Pt 0.728 0.000 0.462

***

[2]
Rb2Au3S3 after structural relaxation. Source: Alexandria via LeMat-Bulk, functional GGA-PBE.

Output
**Magnetization**: 0.05 μB per atom
**Energy**: -3.548 eV per atom
**Space group**: C2 (5)
**Crystal system**: monoclinic

Unit cell a=5.806 b=5.806 c=8.243 alpha=92.46 beta=92.46 gamma=91.92
Fractional positions:
Rb 0.153 0.153 0.250
Rb 0.847 0.847 0.750
Au 0.345 0.415 0.682
Au 0.585 0.655 0.318
Au 0.615 0.385 0.000
S 0.301 0.699 0.500
S 0.367 0.117 0.859
S 0.883 0.633 0.141

***

[3]
SmHoCdIn after structural relaxation. Source: Alexandria via LeMat-Bulk, functional GGA-PBE.

Output
**Magnetization**: 0.00 μB per atom
**Energy relative to the elements**: -0.35 eV/atom
**Space group**: I-4m2 (119)
**Crystal system**: tetragonal

Unit cell a=5.819 b=5.819 c=5.819 alpha=131.61 beta=131.61 gamma=70.85
Fractional positions:
Sm 0.000 0.000 0.000
Ho 0.500 0.500 0.000
Cd 0.750 0.250 0.500
In 0.250 0.750 0.500